(1)
Below is NiMoIr2 after structural relaxation, with properties calculated at the PBE level.

Cell and atoms, written as CIF:
```
data_NiMoIr2
_symmetry_space_group_name_H-M 'P 1'
_symmetry_Int_Tables_number 1
_cell_length_a 3.8684
_cell_length_b 3.8684
_cell_length_c 3.7395
_cell_angle_alpha 90.00
_cell_angle_beta 90.00
_cell_angle_gamma 90.00
loop_
_symmetry_equiv_pos_as_xyz
'x,y,z'
loop_
_atom_site_label
_atom_site_type_symbol
_atom_site_fract_x
_atom_site_fract_y
_atom_site_fract_z
Ni1 Ni 0.0000 0.0000 0.0000
Mo1 Mo 0.5000 0.5000 0.0000
Ir1 Ir 0.0000 0.5000 0.5000
Ir2 Ir 0.5000 0.0000 0.5000
```

Total magnetization in μB per formula unit: 0.001
DOS at the Fermi energy in states/eV/cell: 4.89
Polymorph energy (0 for the lowest one) in kJ/mol of formula units: 53
DFT formation energy in eV/atom: -0.13


(2)
Below is CaHg6Au after structural relaxation, with properties calculated at the PBE level.

Cell and atoms, written as CIF:
```
data_CaHg6Au
_symmetry_space_group_name_H-M 'P 1'
_symmetry_Int_Tables_number 1
_cell_length_a 5.0464
_cell_length_b 6.5742
_cell_length_c 6.5742
_cell_angle_alpha 113.48
_cell_angle_beta 90.00
_cell_angle_gamma 90.00
loop_
_symmetry_equiv_pos_as_xyz
'x,y,z'
loop_
_atom_site_label
_atom_site_type_symbol
_atom_site_fract_x
_atom_site_fract_y
_atom_site_fract_z
Ca1 Ca 0.0000 0.0000 0.0000
Hg1 Hg 0.0000 0.0102 0.5040
Hg2 Hg 0.0000 0.5040 0.0102
Hg3 Hg 0.5000 0.2104 0.7970
Hg4 Hg 0.5000 0.2966 0.2966
Hg5 Hg 0.5000 0.7084 0.7084
Hg6 Hg 0.5000 0.7970 0.2104
Au1 Au 0.0000 0.5048 0.5048
```

Total magnetization in μB per formula unit: 0.000
DOS at the Fermi energy in states/eV/cell: 3.08
DFT formation energy in eV/atom: -0.17


(3)
Below is Li2GeTe5 after structural relaxation, with properties calculated at the PBE level.

Cell and atoms, written as CIF:
```
data_Li2GeTe5
_symmetry_space_group_name_H-M 'P 1'
_symmetry_Int_Tables_number 1
_cell_length_a 6.2976
_cell_length_b 6.3694
_cell_length_c 6.6887
_cell_angle_alpha 99.82
_cell_angle_beta 99.66
_cell_angle_gamma 110.46
loop_
_symmetry_equiv_pos_as_xyz
'x,y,z'
loop_
_atom_site_label
_atom_site_type_symbol
_atom_site_fract_x
_atom_site_fract_y
_atom_site_fract_z
Li1 Li 0.0000 0.0000 0.0000
Li2 Li 0.4808 0.5333 0.0495
Ge1 Ge 0.8504 0.3851 0.3693
Te1 Te 0.1141 0.6245 0.8265
Te2 Te 0.3522 0.7752 0.4049
Te3 Te 0.3793 0.2750 0.3696
Te4 Te 0.7489 0.2854 0.9226
Te5 Te 0.8356 0.9407 0.3857
```

Energy relative to the elements, uncorrected in meV/atom: -286
Total magnetization in μB per formula unit: 0.000
DOS at the Fermi energy in states/eV/cell: 2.18


(4)
Below is PuMg2Pb3 after structural relaxation, with properties calculated at the PBE level.

Cell and atoms, written as CIF:
```
data_PuMg2Pb3
_symmetry_space_group_name_H-M 'P 1'
_symmetry_Int_Tables_number 1
_cell_length_a 7.7175
_cell_length_b 7.7175
_cell_length_c 4.5063
_cell_angle_alpha 90.00
_cell_angle_beta 90.00
_cell_angle_gamma 143.49
loop_
_symmetry_equiv_pos_as_xyz
'x,y,z'
loop_
_atom_site_label
_atom_site_type_symbol
_atom_site_fract_x
_atom_site_fract_y
_atom_site_fract_z
Pu1 Pu 0.0000 0.0000 0.0000
Mg1 Mg 0.3281 0.6719 0.0000
Mg2 Mg 0.6719 0.3281 0.0000
Pb1 Pb 0.1687 0.8313 0.5000
Pb2 Pb 0.5000 0.5000 0.5000
Pb3 Pb 0.8313 0.1687 0.5000
```

Total magnetization in μB per formula unit: 5.644
DOS at the Fermi energy in states/eV/cell: 13.84
Polymorph energy (0 for the lowest one) in kJ/mol of formula units: 0
DFT formation energy in eV/atom: -0.11


(5)
Below is Ho6Ge2BiSe3 after structural relaxation, with properties calculated at the PBE level.

Cell and atoms, written as CIF:
```
data_Ho6Ge2BiSe3
_symmetry_space_group_name_H-M 'P 1'
_symmetry_Int_Tables_number 1
_cell_length_a 9.3019
_cell_length_b 9.3019
_cell_length_c 8.3621
_cell_angle_alpha 102.30
_cell_angle_beta 102.30
_cell_angle_gamma 25.91
loop_
_symmetry_equiv_pos_as_xyz
'x,y,z'
loop_
_atom_site_label
_atom_site_type_symbol
_atom_site_fract_x
_atom_site_fract_y
_atom_site_fract_z
Ho1 Ho 0.0065 0.0065 0.2655
Ho2 Ho 0.3274 0.3274 0.8973
Ho3 Ho 0.3290 0.3290 0.4233
Ho4 Ho 0.6710 0.6710 0.5767
Ho5 Ho 0.6726 0.6726 0.1027
Ho6 Ho 0.9935 0.9935 0.7345
Ge1 Ge 0.1674 0.1674 0.3359
Ge2 Ge 0.8326 0.8326 0.6641
Bi1 Bi 0.5000 0.5000 0.0000
Se1 Se 0.1641 0.1641 0.8342
Se2 Se 0.5000 0.5000 0.5000
Se3 Se 0.8359 0.8359 0.1658
```

Energy relative to the elements, uncorrected in meV/atom: -1343
Total magnetization in μB per formula unit: 0.000
DOS at the Fermi energy in states/eV/cell: 2.20


(6)
Below is USeO after structural relaxation, with properties calculated at the PBE level.

Cell and atoms, written as CIF:
```
data_USeO
_symmetry_space_group_name_H-M 'P 1'
_symmetry_Int_Tables_number 1
_cell_length_a 3.8438
_cell_length_b 3.8438
_cell_length_c 4.2724
_cell_angle_alpha 90.00
_cell_angle_beta 90.00
_cell_angle_gamma 120.00
loop_
_symmetry_equiv_pos_as_xyz
'x,y,z'
loop_
_atom_site_label
_atom_site_type_symbol
_atom_site_fract_x
_atom_site_fract_y
_atom_site_fract_z
U1 U 0.0000 0.0000 0.0000
Se1 Se 0.6667 0.3333 0.5000
O1 O 0.3333 0.6667 0.0000
```

Energy relative to the elements, uncorrected in meV/atom: -2207
Total magnetization in μB per formula unit: 1.967
DOS at the Fermi energy in states/eV/cell: 5.67


(7)
Below is Sc2SbAs after structural relaxation, with properties calculated at the PBE level.

Cell and atoms, written as CIF:
```
data_Sc2SbAs
_symmetry_space_group_name_H-M 'P 1'
_symmetry_Int_Tables_number 1
_cell_length_a 4.0293
_cell_length_b 4.0293
_cell_length_c 5.7038
_cell_angle_alpha 90.00
_cell_angle_beta 90.00
_cell_angle_gamma 90.00
loop_
_symmetry_equiv_pos_as_xyz
'x,y,z'
loop_
_atom_site_label
_atom_site_type_symbol
_atom_site_fract_x
_atom_site_fract_y
_atom_site_fract_z
Sc1 Sc 0.0000 0.0000 0.0000
Sc2 Sc 0.5000 0.5000 0.5000
Sb1 Sb 0.0000 0.0000 0.5000
As1 As 0.5000 0.5000 0.0000
```

Energy relative to the elements, uncorrected in meV/atom: -1098
Total magnetization in μB per formula unit: 0.000
DOS at the Fermi energy in states/eV/cell: 0.59


(8)
Below is Sc2Ir after structural relaxation, with properties calculated at the PBE level.

Cell and atoms, written as CIF:
```
data_Sc2Ir
_symmetry_space_group_name_H-M 'P 1'
_symmetry_Int_Tables_number 1
_cell_length_a 6.9569
_cell_length_b 6.9569
_cell_length_c 4.2813
_cell_angle_alpha 90.00
_cell_angle_beta 90.00
_cell_angle_gamma 120.00
loop_
_symmetry_equiv_pos_as_xyz
'x,y,z'
loop_
_atom_site_label
_atom_site_type_symbol
_atom_site_fract_x
_atom_site_fract_y
_atom_site_fract_z
Sc1 Sc 0.0000 0.2578 0.0000
Sc2 Sc 0.0000 0.5870 0.5000
Sc3 Sc 0.2578 0.0000 0.0000
Sc4 Sc 0.4130 0.4130 0.5000
Sc5 Sc 0.5870 0.0000 0.5000
Sc6 Sc 0.7422 0.7422 0.0000
Ir1 Ir 0.0000 0.0000 0.5000
Ir2 Ir 0.3333 0.6667 0.0000
Ir3 Ir 0.6667 0.3333 0.0000
```

Total magnetization in μB per formula unit: 0.000
DOS at the Fermi energy in states/eV/cell: 11.30
DFT formation energy in eV/atom: -0.74


(9)
Below is Al3InMo after structural relaxation, with properties calculated at the PBE level.

Cell and atoms, written as CIF:
```
data_Al3InMo
_symmetry_space_group_name_H-M 'P 1'
_symmetry_Int_Tables_number 1
_cell_length_a 4.9267
_cell_length_b 4.9267
_cell_length_c 4.9267
_cell_angle_alpha 90.00
_cell_angle_beta 90.00
_cell_angle_gamma 90.00
loop_
_symmetry_equiv_pos_as_xyz
'x,y,z'
loop_
_atom_site_label
_atom_site_type_symbol
_atom_site_fract_x
_atom_site_fract_y
_atom_site_fract_z
Al1 Al 0.0000 0.0000 0.5000
Al2 Al 0.0000 0.5000 0.0000
Al3 Al 0.5000 0.0000 0.0000
In1 In 0.5000 0.5000 0.5000
Mo1 Mo 0.0000 0.0000 0.0000
```

Total magnetization in μB per formula unit: 0.000
DOS at the Fermi energy in states/eV/cell: 3.07
Polymorph energy (0 for the lowest one) in kJ/mol of formula units: 0
DFT formation energy in eV/atom: 0.48


(10)
Below is Sm3Tm6Mg after structural relaxation, with properties calculated at the PBE level.

Cell and atoms, written as CIF:
```
data_Sm3Tm6Mg
_symmetry_space_group_name_H-M 'P 1'
_symmetry_Int_Tables_number 1
_cell_length_a 11.0181
_cell_length_b 5.0013
_cell_length_c 11.1219
_cell_angle_alpha 90.00
_cell_angle_beta 90.57
_cell_angle_gamma 90.00
loop_
_symmetry_equiv_pos_as_xyz
'x,y,z'
loop_
_atom_site_label
_atom_site_type_symbol
_atom_site_fract_x
_atom_site_fract_y
_atom_site_fract_z
Sm1 Sm 0.0511 0.2500 0.4006
Sm2 Sm 0.1529 0.7500 0.2035
Sm3 Sm 0.2530 0.2500 0.0034
Sm4 Sm 0.7470 0.7500 0.9966
Sm5 Sm 0.8471 0.2500 0.7965
Sm6 Sm 0.9489 0.7500 0.5994
Tm1 Tm 0.0527 0.7500 0.8976
Tm2 Tm 0.1554 0.2500 0.7000
Tm3 Tm 0.2580 0.7500 0.5024
Tm4 Tm 0.3502 0.7500 0.8038
Tm5 Tm 0.3557 0.2500 0.3065
Tm6 Tm 0.4524 0.7500 0.1015
Tm7 Tm 0.5476 0.2500 0.8985
Tm8 Tm 0.6443 0.7500 0.6935
Tm9 Tm 0.6498 0.2500 0.1962
Tm10 Tm 0.7420 0.2500 0.4976
Tm11 Tm 0.8446 0.7500 0.3000
Tm12 Tm 0.9473 0.2500 0.1024
Mg1 Mg 0.4496 0.2500 0.6014
Mg2 Mg 0.5504 0.7500 0.3986
```

Total magnetization in μB per formula unit: 0.001
DOS at the Fermi energy in states/eV/cell: 28.14
Polymorph energy (0 for the lowest one) in kJ/mol of formula units: 0
DFT formation energy in eV/atom: 0.03


(11)
Below is Pr5Tl2In2 after structural relaxation, with properties calculated at the PBE level.

Cell and atoms, written as CIF:
```
data_Pr5Tl2In2
_symmetry_space_group_name_H-M 'P 1'
_symmetry_Int_Tables_number 1
_cell_length_a 10.8316
_cell_length_b 10.8316
_cell_length_c 10.8316
_cell_angle_alpha 65.06
_cell_angle_beta 127.39
_cell_angle_gamma 144.53
loop_
_symmetry_equiv_pos_as_xyz
'x,y,z'
loop_
_atom_site_label
_atom_site_type_symbol
_atom_site_fract_x
_atom_site_fract_y
_atom_site_fract_z
Pr1 Pr 0.0957 0.3880 0.0166
Pr2 Pr 0.0957 0.5791 0.2077
Pr3 Pr 0.2168 0.0811 0.2979
Pr4 Pr 0.2168 0.4189 0.6358
Pr5 Pr 0.3714 0.0791 0.9834
Pr6 Pr 0.3714 0.8880 0.7923
Pr7 Pr 0.7257 0.4770 0.7487
Pr8 Pr 0.7284 0.9770 0.2513
Pr9 Pr 0.7832 0.5811 0.3642
Pr10 Pr 0.7832 0.9189 0.7021
Tl1 Tl 0.0837 0.9912 0.5925
Tl2 Tl 0.3140 0.3140 0.0000
Tl3 Tl 0.3140 0.8140 0.5000
Tl4 Tl 0.3987 0.4912 0.4075
In1 In 0.6564 0.1564 0.3571
In2 In 0.6564 0.7993 0.0000
In3 In 0.7993 0.2993 0.6429
In4 In 0.7993 0.6564 0.0000
```

Total magnetization in μB per formula unit: 0.000
DOS at the Fermi energy in states/eV/cell: 22.14
Polymorph energy (0 for the lowest one) in kJ/mol of formula units: 65
DFT formation energy in eV/atom: -0.29


(12)
Below is KYPuI6 after structural relaxation, with properties calculated at the PBE level.

Cell and atoms, written as CIF:
```
data_KYPuI6
_symmetry_space_group_name_H-M 'P 1'
_symmetry_Int_Tables_number 1
_cell_length_a 7.9758
_cell_length_b 7.9758
_cell_length_c 15.7916
_cell_angle_alpha 90.00
_cell_angle_beta 90.00
_cell_angle_gamma 120.00
loop_
_symmetry_equiv_pos_as_xyz
'x,y,z'
loop_
_atom_site_label
_atom_site_type_symbol
_atom_site_fract_x
_atom_site_fract_y
_atom_site_fract_z
K1 K 0.0000 0.0000 0.0000
K2 K 0.0000 0.0000 0.5000
Y1 Y 0.3333 0.6667 0.2500
Y2 Y 0.6667 0.3333 0.7500
Pu1 Pu 0.3333 0.6667 0.7500
Pu2 Pu 0.6667 0.3333 0.2500
I1 I 0.0135 0.3684 0.1355
I2 I 0.0135 0.6450 0.3645
I3 I 0.3550 0.3684 0.3645
I4 I 0.3550 0.9865 0.1355
I5 I 0.3684 0.0135 0.6355
I6 I 0.3684 0.3550 0.8645
I7 I 0.6316 0.6450 0.1355
I8 I 0.6316 0.9865 0.3645
I9 I 0.6450 0.0135 0.8645
I10 I 0.6450 0.6316 0.6355
I11 I 0.9865 0.3550 0.6355
I12 I 0.9865 0.6316 0.8645
```

Energy relative to the elements, uncorrected in meV/atom: -1296
Total magnetization in μB per formula unit: 6.000
DOS at the Fermi energy in states/eV/cell: 38.60


| no. | density (kg/m3) |
| --- | --- |
| 1 | 15996 |
| 2 | 11958 |
| 3 | 5012 |
| 4 | 9507 |
| 5 | 8510 |
| 6 | 10115 |
| 7 | 5139 |
| 8 | 7832 |
| 9 | 4051 |
| 10 | 8069 |
| 11 | 7710 |
| 12 | 4327 |